1.
! Tb4TmNi2 (PBE, optimized geometry); values from VASP
&SYSTEM
  ibrav = 0, nat = 14, ntyp = 3
/
ATOMIC_SPECIES
Tb 158.93 Tb.upf
Tm 168.93 Tm.upf
Ni 58.69 Ni.upf
CELL_PARAMETERS angstrom
7.469 0.000 0.000
0.000 6.371 0.000
-3.029 0.000 7.349
ATOMIC_POSITIONS angstrom
Tb -0.966 1.593 2.844
Tb 0.818 4.778 2.517
Tb 0.708 0.033 5.656
Tb 0.708 3.153 5.656
Tb 3.732 3.219 1.693
Tb 3.732 6.338 1.693
Tb 3.621 1.593 4.832
Tb 5.406 4.778 4.505
Tm 1.039 1.593 0.228
Tm 3.401 4.778 7.121
Ni -1.145 4.778 7.311
Ni 1.614 1.593 2.998
Ni 2.826 4.778 4.351
Ni 5.585 1.593 0.038
! Calculated total energy: -5.080 eV/atom
! Crystal system: monoclinic
! Total magnetization: 0.000 μB per atom

2.
! YSb3Au (PBE, optimized geometry); values from VASP
&SYSTEM
  ibrav = 0, nat = 5, ntyp = 3
/
ATOMIC_SPECIES
Y 88.91 Y.upf
Sb 121.76 Sb.upf
Au 196.97 Au.upf
CELL_PARAMETERS angstrom
5.722 0.000 0.000
0.000 5.722 0.000
0.000 0.000 5.722
ATOMIC_POSITIONS angstrom
Y 0.000 0.000 0.000
Sb 0.000 0.000 2.861
Sb 0.000 2.861 0.000
Sb 2.861 0.000 0.000
Au 2.861 2.861 2.861
! Calculated total energy: -3.828 eV/atom
! Excess energy over the best structure of this formula in the dataset: 201 kJ/mol of formula units
! Crystal system: cubic
! Uncorrected formation energy: 594 meV/atom
! Total magnetization: 0.000 μB per atom

3.
! BaTl8Ag4 (PBE, optimized geometry); values from VASP
&SYSTEM
  ibrav = 0, nat = 13, ntyp = 3
/
ATOMIC_SPECIES
Ba 137.33 Ba.upf
Tl 204.38 Tl.upf
Ag 107.87 Ag.upf
CELL_PARAMETERS angstrom
-5.390 5.390 3.023
5.390 -5.390 3.023
5.390 5.390 -3.023
ATOMIC_POSITIONS angstrom
Ba 0.000 0.000 0.000
Tl 3.753 0.000 0.000
Tl 7.026 0.000 0.000
Tl 5.390 3.037 0.000
Tl 0.000 3.753 0.000
Tl 3.037 5.390 0.000
Tl 2.353 0.000 3.023
Tl 0.000 7.026 0.000
Tl 0.000 2.353 3.023
Ag 2.695 2.695 -1.511
Ag 2.695 -2.695 1.511
Ag -2.695 2.695 1.511
Ag 2.695 2.695 1.511
! Calculated total energy: -2.508 eV/atom
! Crystal system: tetragonal
! Total magnetization: 0.000 μB per atom